Entry 1:
{
  "formula": "Sc4CS",
  "functional": "PBE",
  "state": "relaxed",
  "cell": [[12.523, 0.000, 0.000], [0.000, 3.438, 0.000], [-2.726, 0.000, 5.496]],
  "species": ["Sc", "Sc", "Sc", "Sc", "Sc", "Sc", "Sc", "Sc", "C", "C", "S", "S"],
  "fractional_positions": [[0.115, 0.000, 0.244], [0.121, 0.500, 0.813], [0.379, 0.000, 0.187], [0.385, 0.500, 0.756], [0.615, 0.500, 0.244], [0.621, 0.000, 0.813], [0.879, 0.500, 0.187], [0.885, 0.000, 0.756], [0.000, 0.500, 0.000], [0.500, 0.000, 0.000], [0.000, 0.000, 0.500], [0.500, 0.500, 0.500]],
  "e_above_lowest_polymorph_mev_per_atom": 35,
  "crystal_system": "monoclinic",
  "mass_density_g_cm3": 3.1,
  "n_ef_per_ev_cell": 12.85,
  "e_form_raw_mev_per_atom": -829,
  "magnetic_moment_mub_per_fu": 0.0
}



Entry 2:
{
  "formula": "Sc4CS",
  "functional": "PBE",
  "state": "relaxed",
  "cell": [[-3.422, 3.508, 4.869], [3.422, -3.508, 4.869], [3.422, 3.508, -4.869]],
  "species": ["Sc", "Sc", "Sc", "Sc", "Sc", "Sc", "Sc", "Sc", "C", "C", "S", "S"],
  "fractional_positions": [[0.266, 0.254, 0.488], [0.266, 0.778, 0.012], [0.270, 0.241, 0.029], [0.288, 0.759, 0.529], [0.712, 0.241, 0.471], [0.730, 0.759, 0.971], [0.734, 0.222, 0.988], [0.734, 0.746, 0.512], [0.500, 0.000, 0.000], [0.500, 0.500, 0.500], [0.000, 0.500, 0.500], [0.500, 0.500, 0.000]],
  "e_above_lowest_polymorph_mev_per_atom": 0,
  "crystal_system": "orthorhombic",
  "mass_density_g_cm3": 3.2,
  "n_ef_per_ev_cell": 11.39,
  "e_form_raw_mev_per_atom": -865,
  "magnetic_moment_mub_per_fu": 0.0
}



Entry 3:
{
  "formula": "Sc4CS3",
  "functional": "PBE",
  "state": "relaxed",
  "cell": [[5.078, 0.000, 0.000], [0.000, 8.296, 0.000], [0.000, 0.000, 7.608]],
  "species": ["Sc", "Sc", "Sc", "Sc", "Sc", "Sc", "Sc", "Sc", "C", "C", "S", "S", "S", "S", "S", "S"],
  "fractional_positions": [[0.250, 0.024, 0.183], [0.250, 0.250, 0.607], [0.250, 0.476, 0.183], [0.250, 0.750, 0.678], [0.750, 0.250, 0.322], [0.750, 0.524, 0.817], [0.750, 0.750, 0.393], [0.750, 0.976, 0.817], [0.250, 0.250, 0.322], [0.750, 0.750, 0.678], [0.250, 0.015, 0.839], [0.250, 0.485, 0.839], [0.250, 0.750, 0.352], [0.750, 0.250, 0.648], [0.750, 0.515, 0.161], [0.750, 0.985, 0.161]],
  "e_above_lowest_polymorph_mev_per_atom": 221,
  "crystal_system": "orthorhombic",
  "mass_density_g_cm3": 3.0,
  "n_ef_per_ev_cell": 10.30,
  "e_form_raw_mev_per_atom": -1407,
  "magnetic_moment_mub_per_fu": 0.0
}



Entry 4:
{
  "formula": "Sc3CS",
  "functional": "PBE",
  "state": "relaxed",
  "cell": [[3.288, 0.000, 0.000], [0.000, 6.137, 0.000], [0.000, 0.000, 8.771]],
  "species": ["Sc", "Sc", "Sc", "Sc", "Sc", "Sc", "C", "C", "S", "S"],
  "fractional_positions": [[0.250, 0.019, 0.194], [0.250, 0.250, 0.493], [0.250, 0.481, 0.194], [0.750, 0.519, 0.806], [0.750, 0.750, 0.507], [0.750, 0.981, 0.806], [0.250, 0.750, 0.697], [0.750, 0.250, 0.303], [0.250, 0.250, 0.939], [0.750, 0.750, 0.061]],
  "e_above_lowest_polymorph_mev_per_atom": 127,
  "crystal_system": "orthorhombic",
  "mass_density_g_cm3": 3.4,
  "n_ef_per_ev_cell": 7.79,
  "e_form_raw_mev_per_atom": -820,
  "magnetic_moment_mub_per_fu": 0.0
}



Entry 5:
{
  "formula": "Sc9C4S2",
  "functional": "PBE",
  "state": "relaxed",
  "cell": [[5.899, 0.000, 0.000], [-2.949, 5.109, 0.000], [0.000, 0.000, 16.757]],
  "species": ["Sc", "Sc", "Sc", "Sc", "Sc", "Sc", "Sc", "Sc", "Sc", "Sc", "Sc", "Sc", "Sc", "Sc", "Sc", "Sc", "Sc", "Sc", "C", "C", "C", "C", "C", "C", "C", "C", "S", "S", "S", "S"],
  "fractional_positions": [[0.000, 0.352, 0.250], [0.000, 0.648, 0.750], [0.016, 0.380, 0.581], [0.016, 0.636, 0.081], [0.352, 0.000, 0.250], [0.352, 0.352, 0.750], [0.364, 0.380, 0.081], [0.364, 0.984, 0.581], [0.380, 0.016, 0.919], [0.380, 0.364, 0.419], [0.620, 0.636, 0.581], [0.620, 0.984, 0.081], [0.636, 0.016, 0.419], [0.636, 0.620, 0.919], [0.648, 0.000, 0.750], [0.648, 0.648, 0.250], [0.984, 0.364, 0.919], [0.984, 0.620, 0.419], [0.333, 0.667, 0.174], [0.333, 0.667, 0.493], [0.333, 0.667, 0.674], [0.333, 0.667, 0.993], [0.667, 0.333, 0.007], [0.667, 0.333, 0.326], [0.667, 0.333, 0.507], [0.667, 0.333, 0.826], [0.000, 0.000, 0.156], [0.000, 0.000, 0.344], [0.000, 0.000, 0.656], [0.000, 0.000, 0.844]],
  "crystal_system": "trigonal",
  "mass_density_g_cm3": 3.4,
  "n_ef_per_ev_cell": 16.98,
  "e_form_raw_mev_per_atom": -777,
  "magnetic_moment_mub_per_fu": 0.0
}



Entry 6:
{
  "formula": "Sc3CS",
  "functional": "PBE",
  "state": "relaxed",
  "cell": [[1.735, -8.520, 0.000], [1.735, 8.520, 0.000], [0.000, 0.000, 6.159]],
  "species": ["Sc", "Sc", "Sc", "Sc", "Sc", "Sc", "C", "C", "S", "S"],
  "fractional_positions": [[0.085, 0.915, 0.500], [0.254, 0.746, 0.876], [0.403, 0.597, 0.575], [0.597, 0.403, 0.075], [0.746, 0.254, 0.376], [0.915, 0.085, 0.000], [0.162, 0.838, 0.216], [0.838, 0.162, 0.716], [0.341, 0.659, 0.212], [0.659, 0.341, 0.712]],
  "e_above_lowest_polymorph_mev_per_atom": 0,
  "crystal_system": "orthorhombic",
  "mass_density_g_cm3": 3.3,
  "n_ef_per_ev_cell": 6.83,
  "e_form_raw_mev_per_atom": -947,
  "magnetic_moment_mub_per_fu": 0.0
}